No. 1
DFT (PBE) results for a relaxed KCoRu crystal.

```
data_KCoRu
_space_group_name_H-M_alt 'P n m a'
_space_group_IT_number 62
_space_group_name_Hall '-P 2ac 2n'
_cell_length_a 7.860
_cell_length_b 4.098
_cell_length_c 7.631
_cell_angle_alpha 90.00
_cell_angle_beta 90.00
_cell_angle_gamma 90.00
loop_
_atom_site_label
_atom_site_fract_x
_atom_site_fract_y
_atom_site_fract_z
K1 0.000 0.250 0.153
Co1 0.146 0.250 0.574
Ru1 0.142 0.750 0.432
```

Summary:
As for the magnetization: 0.000 μB/atom. The formation energy from the elements comes out at 924.8 meV per atom. Its crystal system is orthorhombic.

***

No. 2
DFT (PBE) results for a relaxed KCoRu crystal.

```
data_KCoRu
_space_group_name_H-M_alt 'P -6 m 2'
_space_group_IT_number 187
_space_group_name_Hall 'P -6 2'
_cell_length_a 4.5566
_cell_length_b 4.5566
_cell_length_c 7.6697
_cell_angle_alpha 90.00
_cell_angle_beta 90.00
_cell_angle_gamma 120.00
loop_
_atom_site_label
_atom_site_fract_x
_atom_site_fract_y
_atom_site_fract_z
K1 0.0000 0.0000 0.0000
K2 0.0000 0.0000 0.5000
Co1 0.6667 0.3333 0.1511
Ru1 0.3333 0.6667 0.1511
```

Summary:
As for the magnetization: 0.337 μB/atom. The formation energy from the elements comes out at 1213.1 meV per atom. Its crystal system is hexagonal.

***

No. 3
DFT (PBE) results for a relaxed KCoRu2 crystal.

```
data_KCoRu2
_space_group_name_H-M_alt 'P m m m'
_space_group_IT_number 47
_space_group_name_Hall '-P 2 2'
_cell_length_a 2.649
_cell_length_b 3.530
_cell_length_c 7.986
_cell_angle_alpha 90.00
_cell_angle_beta 90.00
_cell_angle_gamma 90.00
loop_
_atom_site_label
_atom_site_fract_x
_atom_site_fract_y
_atom_site_fract_z
K1 0.000 0.000 0.000
Co1 0.000 0.000 0.500
Ru1 0.500 0.500 0.344
```

Summary:
As for the magnetization: 0.388 μB/atom. The formation energy from the elements comes out at 817.8 meV per atom. Its crystal system is orthorhombic.

***

No. 4
DFT (PBE) results for a relaxed KCoRu crystal.

```
data_KCoRu
_space_group_name_H-M_alt 'P 1'
_space_group_IT_number 1
_space_group_name_Hall 'P 1'
_cell_length_a 2.769
_cell_length_b 4.152
_cell_length_c 12.127
_cell_angle_alpha 90.25
_cell_angle_beta 94.74
_cell_angle_gamma 90.01
loop_
_atom_site_label
_atom_site_fract_x
_atom_site_fract_y
_atom_site_fract_z
K1 0.000 0.000 0.000
K2 0.323 0.491 0.347
Co1 0.594 0.993 0.561
Co2 0.667 0.496 0.786
Ru1 0.101 0.494 0.608
Ru2 0.161 0.996 0.738
```

Summary:
As for the magnetization: 0.564 μB/atom. The formation energy from the elements comes out at 602.5 meV per atom. Its crystal system is triclinic.

***

No. 5
DFT (PBE) results for a relaxed KCoRu crystal.

```
data_KCoRu
_space_group_name_H-M_alt 'C 1 2/m 1'
_space_group_IT_number 12
_space_group_name_Hall '-C 2y'
_cell_length_a 9.766
_cell_length_b 3.898
_cell_length_c 8.743
_cell_angle_alpha 90.00
_cell_angle_beta 118.73
_cell_angle_gamma 90.00
loop_
_atom_site_label
_atom_site_fract_x
_atom_site_fract_y
_atom_site_fract_z
K1 0.063 0.000 0.343
Co1 0.240 0.500 0.848
Ru1 0.136 0.500 0.033
```

Summary:
As for the magnetization: 0.000 μB/atom. The formation energy from the elements comes out at 743.7 meV per atom. Its crystal system is monoclinic.

***

No. 6
DFT (PBE) results for a relaxed KCoRu2 crystal.

```
data_KCoRu2
_space_group_name_H-M_alt 'C m m 2'
_space_group_IT_number 35
_space_group_name_Hall 'C 2 -2'
_cell_length_a 2.838
_cell_length_b 4.645
_cell_length_c 9.988
_cell_angle_alpha 90.00
_cell_angle_beta 90.00
_cell_angle_gamma 90.00
loop_
_atom_site_label
_atom_site_fract_x
_atom_site_fract_y
_atom_site_fract_z
K1 0.000 0.000 0.000
Co1 0.000 0.500 0.284
Ru1 0.000 0.000 0.490
Ru2 0.000 0.500 0.710
```

Summary:
As for the magnetization: 0.500 μB/atom. The formation energy from the elements comes out at 924.7 meV per atom. Its crystal system is orthorhombic.

***

Q: magnetization of number 5 (KCoRu)?
A: 0.000 μB/atom

***

Q: What is the formula in the first record?
A: KCoRu

***

Q: Among the records above, which one has the highest magnetization?
A: number 4